1.
This record from the Alexandria database describes a relaxed Ba2Li3Tl2 crystal. The functional is PBE.

Unit cell a=4.8386 b=6.8506 c=8.1560 alpha=115.29 beta=90.00 gamma=110.68
Last column: nearest neighbours and their distance in Å.
Sites, in units of the cell vectors:
Ba: 0.8635 0.7270 0.2345  4 Tl 3.60-3.72, 5 Li 3.62-3.95
Ba: 0.1365 0.2730 0.7655  4 Tl 3.60-3.72, 5 Li 3.62-3.95
Li: 0.5000 0.0000 0.0000  4 Tl 3.01, 2 Li 3.12
Li: 0.6578 0.3156 0.4253  3 Tl 2.94-2.96, 3 Li 3.12-3.21
Li: 0.3422 0.6844 0.5747  3 Tl 2.94-2.96, 3 Li 3.12-3.21
Tl: 0.8642 0.7283 0.7940  5 Li 2.94-3.01
Tl: 0.1358 0.2717 0.2060  5 Li 2.94-3.01

Output
* density: 5.20 g/cm³
* energy: -0.1675 Ry per atom
* size of the total moment: 0.00 μB/f.u.
* ΔH_f (0 K): -0.2335 eV/atom

***

2.
This record from the Alexandria database describes a relaxed Ba4Li2Tl crystal. The functional is PBE.

Unit cell a=6.1105 b=6.1105 c=10.4602 alpha=73.14 beta=73.14 gamma=59.97
Last column: nearest neighbours and their distance in Å.
Sites, in units of the cell vectors:
Ba: 0.8767 0.8767 0.3713  1 Tl 3.66, 4 Li 3.77-3.88
Ba: 0.1233 0.1233 0.6287  1 Tl 3.66, 4 Li 3.77-3.88
Ba: 0.6248 0.6248 0.1262  4 Li 3.56-3.69, 3 Tl 3.74
Ba: 0.3752 0.3752 0.8738  4 Li 3.56-3.69, 3 Tl 3.74
Li: 0.7444 0.7444 0.7651  8 Ba 3.56-3.88
Li: 0.2556 0.2556 0.2349  8 Ba 3.56-3.88
Tl: 0.0000 0.0000 0.0000  8 Ba 3.66-3.74

Output
* density: 4.00 g/cm³
* energy: -0.1504 Ry per atom
* size of the total moment: 0.00 μB/f.u.
* ΔH_f (0 K): -0.0634 eV/atom

***

3.
This record from the Alexandria database describes a relaxed BaLi6Tl6 crystal. The functional is PBE.

Unit cell a=5.9101 b=7.8006 c=7.8006 alpha=81.27 beta=67.74 gamma=67.74
Last column: nearest neighbours and their distance in Å.
Sites, in units of the cell vectors:
Ba: 0.0000 0.0000 0.0000  8 Tl 3.53-3.60, 12 Li 3.83-3.90
Li: 0.0000 0.5000 0.0000  4 Li 2.96, 6 Tl 2.98-3.12
Li: 0.5000 0.5000 0.0000  4 Li 2.96, 6 Tl 2.98-3.12
Li: 0.0000 0.0000 0.5000  4 Li 2.96, 6 Tl 2.98-3.12
Li: 0.5000 0.0000 0.5000  4 Li 2.96, 6 Tl 2.98-3.12
Li: 0.5000 0.7605 0.2395  4 Li 2.96, 6 Tl 3.07-3.19
Li: 0.5000 0.2395 0.7605  4 Li 2.96, 6 Tl 3.07-3.19
Tl: 0.3492 0.6508 0.6508  6 Li 3.07-3.11, 3 Tl 3.09-3.32
Tl: 0.6508 0.3492 0.3492  6 Li 3.07-3.11, 3 Tl 3.09-3.32
Tl: 0.0000 0.3474 0.6526  3 Tl 3.10-3.43, 6 Li 3.12-3.15
Tl: 0.0000 0.6526 0.3474  3 Tl 3.10-3.43, 6 Li 3.12-3.15
Tl: 0.2987 0.2013 0.2013  6 Li 2.98-3.19, 2 Tl 3.32
Tl: 0.7013 0.7987 0.7987  6 Li 2.98-3.19, 2 Tl 3.32

Output
* density: 7.58 g/cm³
* energy: -0.1738 Ry per atom
* size of the total moment: 0.00 μB/f.u.
* ΔH_f (0 K): -0.2411 eV/atom

***

4.
This record from the Alexandria database describes a relaxed BaLi2Tl crystal. The functional is PBE.

Unit cell a=5.3954 b=5.3954 c=5.3954 alpha=60.00 beta=60.00 gamma=60.00
Last column: nearest neighbours and their distance in Å.
Sites, in units of the cell vectors:
Tl: 0.5000 0.5000 0.5000  8 Li 3.30
Ba: 0.0000 0.0000 0.0000  8 Li 3.30
Li: 0.2500 0.2500 0.2500  4 Tl 3.30, 4 Ba 3.30
Li: 0.7500 0.7500 0.7500  4 Tl 3.30, 4 Ba 3.30

Output
* density: 5.32 g/cm³
* energy: -0.1606 Ry per atom
* size of the total moment: 0.00 μB/f.u.
* ΔH_f (0 K): -0.1562 eV/atom

***

5.
This record from the Alexandria database describes a relaxed Ba2LiTl crystal. The functional is PBE.

Unit cell a=4.1691 b=4.1691 c=9.4048 alpha=90.00 beta=90.00 gamma=90.00
Last column: nearest neighbours and their distance in Å.
Sites, in units of the cell vectors:
Tl: 0.5000 0.5000 0.6919  4 Li 3.18, 1 Ba 3.56
Ba: 0.0000 0.0000 0.9301  1 Li 3.44, 4 Tl 3.70
Ba: 0.5000 0.5000 0.3132  1 Tl 3.56, 4 Li 3.78
Li: 0.0000 0.0000 0.5648  4 Tl 3.18, 1 Ba 3.44

Output
* density: 4.94 g/cm³
* energy: -0.1601 Ry per atom
* size of the total moment: 0.00 μB/f.u.
* ΔH_f (0 K): -0.1463 eV/atom

***

6.
This record from the Alexandria database describes a relaxed BaLi6Tl4 crystal. The functional is PBE.

Unit cell a=4.8100 b=7.9942 c=7.9942 alpha=120.00 beta=90.00 gamma=90.00
Last column: nearest neighbours and their distance in Å.
Sites, in units of the cell vectors:
Ba: 0.0000 0.0000 0.0000  6 Tl 3.68, 12 Li 3.81-4.03
Li: 0.0000 0.5392 0.0783  5 Tl 2.85-3.00, 2 Li 3.06
Li: 0.5000 0.5738 0.7869  4 Tl 2.87-2.92, 2 Li 2.88
Li: 0.0000 0.5392 0.4608  5 Tl 2.85-3.00, 2 Li 3.06
Li: 0.0000 0.9217 0.4608  5 Tl 2.85-3.00, 2 Li 3.06
Li: 0.5000 0.2131 0.7869  4 Tl 2.87-2.92, 2 Li 2.88
Li: 0.5000 0.2131 0.4262  4 Tl 2.87-2.92, 2 Li 2.88
Tl: 0.5000 0.7992 0.5984  6 Li 2.87-3.00, 2 Tl 3.18
Tl: 0.5000 0.4016 0.2008  6 Li 2.87-3.00, 2 Tl 3.18
Tl: 0.5000 0.7992 0.2008  6 Li 2.87-3.00, 2 Tl 3.18
Tl: 0.0000 0.3333 0.6667  9 Li 2.85-2.92

Output
* density: 6.22 g/cm³
* energy: -0.1699 Ry per atom
* size of the total moment: 0.00 μB/f.u.
* ΔH_f (0 K): -0.2331 eV/atom

***

7.
This record from the Alexandria database describes a relaxed BaLi4Tl12 crystal. The functional is PBE.

Unit cell a=8.6220 b=8.6220 c=8.6220 alpha=109.47 beta=109.47 gamma=109.47
Last column: nearest neighbours and their distance in Å.
Sites, in units of the cell vectors:
Ba: 0.0000 0.0000 0.0000  12 Tl 3.78
Li: 0.0000 0.5000 0.0000  6 Tl 2.78
Li: 0.5000 0.0000 0.0000  6 Tl 2.78
Li: 0.5000 0.5000 0.5000  6 Tl 2.78
Li: 0.0000 0.0000 0.5000  6 Tl 2.78
Tl: 0.8353 0.3419 0.1772  2 Li 2.78
Tl: 0.3419 0.5066 0.1647  2 Li 2.78
Tl: 0.8228 0.1647 0.6581  2 Li 2.78
Tl: 0.3419 0.1772 0.8353  2 Li 2.78
Tl: 0.1772 0.8353 0.3419  2 Li 2.78
Tl: 0.6581 0.4934 0.8353  2 Li 2.78
Tl: 0.5066 0.1647 0.3419  2 Li 2.78
Tl: 0.4934 0.8353 0.6581  2 Li 2.78
Tl: 0.6581 0.8228 0.1647  2 Li 2.78
Tl: 0.8353 0.6581 0.4934  2 Li 2.78
Tl: 0.1647 0.3419 0.5066  2 Li 2.78
Tl: 0.1647 0.6581 0.8228  2 Li 2.78

Output
* density: 8.81 g/cm³
* energy: -0.1652 Ry per atom
* size of the total moment: 0.00 μB/f.u.
* ΔH_f (0 K): -0.0142 eV/atom

***

8.
This record from the Alexandria database describes a relaxed BaLi2Tl5 crystal. The functional is PBE.

Unit cell a=4.7155 b=7.4973 c=7.4973 alpha=65.75 beta=71.67 gamma=71.67
Last column: nearest neighbours and their distance in Å.
Sites, in units of the cell vectors:
Ba: 0.0000 0.0000 0.0000  10 Tl 3.81-4.07, 4 Li 3.87
Li: 0.7627 0.7373 0.7373  7 Tl 2.77-3.05
Li: 0.2373 0.2627 0.2627  7 Tl 2.77-3.05
Tl: 0.0000 0.5000 0.5000  2 Li 2.77
Tl: 0.6472 0.5526 0.1530  3 Li 2.79-3.05
Tl: 0.3528 0.4474 0.8470  3 Li 2.79-3.05
Tl: 0.3528 0.8470 0.4474  3 Li 2.79-3.05
Tl: 0.6472 0.1530 0.5526  3 Li 2.79-3.05

Output
* density: 8.69 g/cm³
* energy: -0.1784 Ry per atom
* size of the total moment: 0.00 μB/f.u.
* ΔH_f (0 K): -0.2298 eV/atom